No. 1
# MnP2IrCl

Crystalline MnP2IrCl at its relaxed geometry (PBE, Alexandria via LeMat-Bulk).

abc: 4.430 4.430 4.340
angles: 90.00 90.00 90.00
Sites, in units of the cell vectors:
P: 0.000 0.500 0.000
P: 0.500 0.000 0.000
Ir: 0.500 0.500 0.500
Mn: 0.000 0.000 0.000
Cl: 0.000 0.000 0.500

E_form (uncorrected) in meV per atom: 934
Polymorph energy (0 for the lowest one) in meV/atom: 288.2
Final energy in eV per atom: -5.21
Symmetry: No. 123
Size of the total moment in μB per cell: 2.54


No. 2
# MnPIrCl2

Crystalline MnPIrCl2 at its relaxed geometry (PBE, Alexandria via LeMat-Bulk).

abc: 4.224 4.224 4.965
angles: 90.00 90.00 90.00
Sites, in units of the cell vectors:
P: 0.000 0.000 0.500
Ir: 0.500 0.500 0.500
Mn: 0.000 0.000 0.000
Cl: 0.000 0.500 0.000
Cl: 0.500 0.000 0.000

E_form (uncorrected) in meV per atom: 1011
Polymorph energy (0 for the lowest one) in meV/atom: 567.5
Final energy in eV per atom: -4.42
Symmetry: No. 123
Size of the total moment in μB per cell: 0.00


No. 3
# MnIrRu2Cl

Crystalline MnIrRu2Cl at its relaxed geometry (PBE, Alexandria via LeMat-Bulk).

abc: 4.289 4.384 4.289
angles: 90.00 90.00 90.00
Sites, in units of the cell vectors:
Ru: 0.000 0.000 0.500
Ru: 0.500 0.000 0.000
Ir: 0.000 0.500 0.000
Mn: 0.500 0.500 0.500
Cl: 0.000 0.000 0.000

E_form (uncorrected) in meV per atom: 1636
Final energy in eV per atom: -6.05
Symmetry: No. 123
Size of the total moment in μB per cell: 0.37


No. 4
# Mn2IrSeCl

Crystalline Mn2IrSeCl at its relaxed geometry (PBE, Alexandria via LeMat-Bulk).

abc: 4.987 4.527 4.987
angles: 90.00 90.00 90.00
Sites, in units of the cell vectors:
Mn: 0.000 0.000 0.500
Mn: 0.500 0.000 0.000
Ir: 0.000 0.500 0.000
Se: 0.000 0.000 0.000
Cl: 0.500 0.500 0.500

E_form (uncorrected) in meV per atom: 682
Final energy in eV per atom: -5.82
Symmetry: No. 123
Size of the total moment in μB per cell: 9.51


No. 5
# MnSiIr2Cl

Crystalline MnSiIr2Cl at its relaxed geometry (PBE, Alexandria via LeMat-Bulk).

abc: 4.461 4.531 4.461
angles: 90.00 90.00 90.00
Sites, in units of the cell vectors:
Si: 0.000 0.500 0.000
Ir: 0.000 0.000 0.500
Ir: 0.500 0.000 0.000
Mn: 0.500 0.500 0.500
Cl: 0.000 0.000 0.000

E_form (uncorrected) in meV per atom: 1431
Final energy in eV per atom: -5.40
Symmetry: No. 123
Size of the total moment in μB per cell: 4.76


No. 6
# Ta2MnIrCl

Crystalline Ta2MnIrCl at its relaxed geometry (PBE, Alexandria via LeMat-Bulk).

abc: 4.451 4.336 4.451
angles: 90.00 90.00 90.00
Sites, in units of the cell vectors:
Cl: 0.000 0.000 0.000
Ir: 0.000 0.500 0.000
Mn: 0.500 0.500 0.500
Ta: 0.000 0.000 0.500
Ta: 0.500 0.000 0.000

E_form (uncorrected) in meV per atom: 1195
Final energy in eV per atom: -7.52
Symmetry: No. 123
Size of the total moment in μB per cell: 0.00


No. 7
# MoIrCl

Crystalline MoIrCl at its relaxed geometry (PBE, Alexandria via LeMat-Bulk).

abc: 4.251 4.251 4.251
angles: 60.00 60.00 60.00
Sites, in units of the cell vectors:
Cl: 0.000 0.000 0.000
Ir: 0.500 0.500 0.500
Mo: 0.750 0.750 0.750

E_form (uncorrected) in meV per atom: 586
Polymorph energy (0 for the lowest one) in meV/atom: 525.2
Final energy in eV per atom: -6.59
Symmetry: No. 216
Size of the total moment in μB per cell: 0.00


No. 8
# Mo2IrCl

Crystalline Mo2IrCl at its relaxed geometry (PBE, Alexandria via LeMat-Bulk).

abc: 4.473 4.473 4.473
angles: 60.00 60.00 60.00
Sites, in units of the cell vectors:
Cl: 0.500 0.500 0.500
Ir: 0.250 0.250 0.250
Mo: 0.000 0.000 0.000
Mo: 0.750 0.750 0.750

E_form (uncorrected) in meV per atom: 906
Polymorph energy (0 for the lowest one) in meV/atom: 752.1
Final energy in eV per atom: -7.19
Symmetry: No. 216
Size of the total moment in μB per cell: 0.29


No. 9
# Mo2IrCl

Crystalline Mo2IrCl at its relaxed geometry (PBE, Alexandria via LeMat-Bulk).

abc: 2.878 4.757 4.603
angles: 90.00 90.00 90.00
Sites, in units of the cell vectors:
Cl: 0.500 0.000 0.500
Ir: 0.000 0.500 0.500
Mo: 0.000 0.000 0.000
Mo: 0.500 0.500 0.000

E_form (uncorrected) in meV per atom: 817
Polymorph energy (0 for the lowest one) in meV/atom: 663.3
Final energy in eV per atom: -7.28
Symmetry: No. 47
Size of the total moment in μB per cell: 0.00


No. 10
# MoIrCl

Crystalline MoIrCl at its relaxed geometry (PBE, Alexandria via LeMat-Bulk).

abc: 4.284 4.284 2.875
angles: 90.00 90.00 120.00
Sites, in units of the cell vectors:
Cl: 0.000 0.000 0.888
Ir: 0.667 0.333 0.315
Mo: 0.333 0.667 0.797

E_form (uncorrected) in meV per atom: 538
Polymorph energy (0 for the lowest one) in meV/atom: 476.6
Final energy in eV per atom: -6.64
Symmetry: No. 156
Size of the total moment in μB per cell: 0.00


No. 11
# Mo2IrCl

Crystalline Mo2IrCl at its relaxed geometry (PBE, Alexandria via LeMat-Bulk).

abc: 5.367 5.035 2.819
angles: 81.97 74.75 117.35
Sites, in units of the cell vectors:
Cl: 0.000 0.500 0.500
Ir: 0.500 0.500 0.000
Mo: 0.000 0.000 0.000
Mo: 0.500 0.000 0.500

E_form (uncorrected) in meV per atom: 678
Polymorph energy (0 for the lowest one) in meV/atom: 523.7
Final energy in eV per atom: -7.41
Symmetry: No. 12
Size of the total moment in μB per cell: 0.00


No. 12
# Mo2IrCl

Crystalline Mo2IrCl at its relaxed geometry (PBE, Alexandria via LeMat-Bulk).

abc: 5.254 5.254 5.254
angles: 147.55 128.22 62.45
Sites, in units of the cell vectors:
Cl: 0.750 0.250 0.500
Ir: 0.250 0.750 0.500
Mo: 0.978 0.978 0.000
Mo: 0.522 0.522 0.000

E_form (uncorrected) in meV per atom: 630
Polymorph energy (0 for the lowest one) in meV/atom: 475.7
Final energy in eV per atom: -7.46
Symmetry: No. 71
Size of the total moment in μB per cell: 0.00


No. 13
# MoIrCl

Crystalline MoIrCl at its relaxed geometry (PBE, Alexandria via LeMat-Bulk).

abc: 2.878 2.878 7.036
angles: 90.00 90.00 120.00
Sites, in units of the cell vectors:
Cl: 0.000 0.000 0.943
Ir: 0.667 0.333 0.380
Mo: 0.333 0.667 0.677

E_form (uncorrected) in meV per atom: 61
Polymorph energy (0 for the lowest one) in meV/atom: 0.0
Final energy in eV per atom: -7.12
Symmetry: No. 156
Size of the total moment in μB per cell: 0.00


No. 14
# MoIrCl4

Crystalline MoIrCl4 at its relaxed geometry (PBE, Alexandria via LeMat-Bulk).

abc: 5.575 5.575 5.575
angles: 60.00 60.00 60.00
Sites, in units of the cell vectors:
Mo: 0.000 0.000 0.000
Ir: 0.750 0.750 0.750
Cl: 0.874 0.375 0.375
Cl: 0.375 0.375 0.874
Cl: 0.375 0.874 0.375
Cl: 0.375 0.375 0.375

E_form (uncorrected) in meV per atom: 1638
Final energy in eV per atom: -2.88
Symmetry: No. 216
Size of the total moment in μB per cell: 1.95


No. 15
# Mo3IrCl

Crystalline Mo3IrCl at its relaxed geometry (PBE, Alexandria via LeMat-Bulk).

abc: 4.833 4.833 4.833
angles: 90.00 90.00 90.00
Sites, in units of the cell vectors:
Mo: 0.000 0.500 0.000
Mo: 0.000 0.000 0.500
Mo: 0.500 0.000 0.000
Ir: 0.000 0.000 0.000
Cl: 0.500 0.500 0.500

E_form (uncorrected) in meV per atom: 1777
Polymorph energy (0 for the lowest one) in meV/atom: 688.1
Final energy in eV per atom: -6.86
Symmetry: No. 221
Size of the total moment in μB per cell: 2.27


No. 16
# Mo3IrCl

Crystalline Mo3IrCl at its relaxed geometry (PBE, Alexandria via LeMat-Bulk).

abc: 4.353 4.353 4.353
angles: 90.00 90.00 90.00
Sites, in units of the cell vectors:
Mo: 0.000 0.500 0.000
Mo: 0.000 0.000 0.500
Mo: 0.500 0.000 0.000
Ir: 0.500 0.500 0.500
Cl: 0.000 0.000 0.000

E_form (uncorrected) in meV per atom: 1089
Polymorph energy (0 for the lowest one) in meV/atom: 0.0
Final energy in eV per atom: -7.55
Symmetry: No. 221
Size of the total moment in μB per cell: 0.00


No. 17
# Mo2IrCl

Crystalline Mo2IrCl at its relaxed geometry (PBE, Alexandria via LeMat-Bulk).

abc: 2.794 4.054 5.602
angles: 90.00 90.00 90.00
Sites, in units of the cell vectors:
Cl: 0.000 0.000 0.416
Ir: 0.500 0.500 0.793
Mo: 0.000 0.000 0.975
Mo: 0.500 0.500 0.316

E_form (uncorrected) in meV per atom: 453
Polymorph energy (0 for the lowest one) in meV/atom: 298.6
Final energy in eV per atom: -7.64
Symmetry: No. 25
Size of the total moment in μB per cell: 0.00


No. 18
# Mo2Ir2Cl

Crystalline Mo2Ir2Cl at its relaxed geometry (PBE, Alexandria via LeMat-Bulk).

abc: 3.723 3.723 6.993
angles: 74.56 74.56 90.00
Sites, in units of the cell vectors:
Mo: 0.389 0.389 0.222
Mo: 0.611 0.611 0.778
Ir: 0.750 0.250 0.500
Ir: 0.250 0.750 0.500
Cl: 0.000 0.000 0.000

E_form (uncorrected) in meV per atom: 491
Polymorph energy (0 for the lowest one) in meV/atom: 322.4
Final energy in eV per atom: -7.76
Symmetry: No. 139
Size of the total moment in μB per cell: 0.00


No. 19
# MoIr3Cl

Crystalline MoIr3Cl at its relaxed geometry (PBE, Alexandria via LeMat-Bulk).

abc: 4.781 4.781 4.781
angles: 90.00 90.00 90.00
Sites, in units of the cell vectors:
Mo: 0.000 0.000 0.000
Ir: 0.000 0.500 0.000
Ir: 0.000 0.000 0.500
Ir: 0.500 0.000 0.000
Cl: 0.500 0.500 0.500

E_form (uncorrected) in meV per atom: 1885
Polymorph energy (0 for the lowest one) in meV/atom: 196.1
Final energy in eV per atom: -5.97
Symmetry: No. 221
Size of the total moment in μB per cell: 1.12


No. 20
# MoIrCl

Crystalline MoIrCl at its relaxed geometry (PBE, Alexandria via LeMat-Bulk).

abc: 7.812 7.526 2.907
angles: 84.66 73.59 21.74
Sites, in units of the cell vectors:
Cl: 0.027 0.027 0.973
Ir: 0.309 0.309 0.691
Mo: 0.664 0.664 0.336

E_form (uncorrected) in meV per atom: 369
Polymorph energy (0 for the lowest one) in meV/atom: 307.5
Final energy in eV per atom: -6.81
Symmetry: No. 42
Size of the total moment in μB per cell: 0.00


No. 21
# Mo2IrCl

Crystalline Mo2IrCl at its relaxed geometry (PBE, Alexandria via LeMat-Bulk).

abc: 4.257 2.798 5.423
angles: 74.97 90.00 90.00
Sites, in units of the cell vectors:
Cl: 0.000 0.318 0.490
Ir: 0.500 0.676 0.773
Mo: 0.000 0.083 0.956
Mo: 0.500 0.423 0.281

E_form (uncorrected) in meV per atom: 364
Polymorph energy (0 for the lowest one) in meV/atom: 209.7
Final energy in eV per atom: -7.73
Symmetry: No. 6
Size of the total moment in μB per cell: 0.00


No. 22
# Mo2IrCl

Crystalline Mo2IrCl at its relaxed geometry (PBE, Alexandria via LeMat-Bulk).

abc: 4.159 4.159 5.836
angles: 81.99 81.99 39.27
Sites, in units of the cell vectors:
Cl: 0.250 0.250 0.250
Ir: 0.750 0.750 0.750
Mo: 0.000 0.000 0.008
Mo: 0.500 0.500 0.492

E_form (uncorrected) in meV per atom: 434
Polymorph energy (0 for the lowest one) in meV/atom: 280.0
Final energy in eV per atom: -7.66
Symmetry: No. 12
Size of the total moment in μB per cell: 0.00


No. 23
# Mo2IrCl

Crystalline Mo2IrCl at its relaxed geometry (PBE, Alexandria via LeMat-Bulk).

abc: 5.399 5.399 5.399
angles: 149.31 129.97 59.85
Sites, in units of the cell vectors:
Cl: 0.510 0.510 0.000
Ir: 0.258 0.758 0.500
Mo: 0.010 0.010 0.000
Mo: 0.722 0.222 0.500

E_form (uncorrected) in meV per atom: 404
Polymorph energy (0 for the lowest one) in meV/atom: 249.8
Final energy in eV per atom: -7.69
Symmetry: No. 44
Size of the total moment in μB per cell: 0.00


No. 24
# Mo2IrCl

Crystalline Mo2IrCl at its relaxed geometry (PBE, Alexandria via LeMat-Bulk).

abc: 5.601 5.601 6.687
angles: 65.24 65.24 90.00
Sites, in units of the cell vectors:
Mo: 0.619 0.125 0.250
Mo: 0.131 0.625 0.250
Mo: 0.375 0.381 0.750
Mo: 0.875 0.869 0.750
Ir: 0.000 0.000 0.000
Ir: 0.750 0.250 0.500
Cl: 0.500 0.500 0.000
Cl: 0.250 0.750 0.500

E_form (uncorrected) in meV per atom: 837
Polymorph energy (0 for the lowest one) in meV/atom: 683.4
Final energy in eV per atom: -7.26
Symmetry: No. 122
Size of the total moment in μB per cell: 0.00


No. 25
# Mo2Ir2Cl

Crystalline Mo2Ir2Cl at its relaxed geometry (PBE, Alexandria via LeMat-Bulk).

abc: 7.680 7.680 2.824
angles: 90.00 90.00 90.00
Sites, in units of the cell vectors:
Mo: 0.333 0.833 0.000
Mo: 0.833 0.667 0.000
Mo: 0.667 0.167 0.000
Mo: 0.167 0.333 0.000
Ir: 0.126 0.626 0.500
Ir: 0.626 0.874 0.500
Ir: 0.874 0.374 0.500
Ir: 0.374 0.126 0.500
Cl: 0.000 0.000 0.000
Cl: 0.500 0.500 0.000

E_form (uncorrected) in meV per atom: 169
Polymorph energy (0 for the lowest one) in meV/atom: 0.0
Final energy in eV per atom: -8.08
Symmetry: No. 127
Size of the total moment in μB per cell: 0.00


No. 26
# MoIrCl

Crystalline MoIrCl at its relaxed geometry (PBE, Alexandria via LeMat-Bulk).

abc: 7.293 7.293 7.293
angles: 157.05 157.05 32.68
Sites, in units of the cell vectors:
Cl: 0.048 0.048 0.000
Ir: 0.283 0.283 0.000
Mo: 0.669 0.669 0.000

E_form (uncorrected) in meV per atom: 69
Polymorph energy (0 for the lowest one) in meV/atom: 7.9
Final energy in eV per atom: -7.11
Symmetry: No. 107
Size of the total moment in μB per cell: 0.00


No. 27
# Mo2IrCl

Crystalline Mo2IrCl at its relaxed geometry (PBE, Alexandria via LeMat-Bulk).

abc: 3.693 2.802 6.589
angles: 89.99 90.00 90.00
Sites, in units of the cell vectors:
Cl: 0.500 0.250 0.250
Ir: 0.500 0.750 0.750
Mo: 0.000 0.250 0.956
Mo: 0.000 0.250 0.544

E_form (uncorrected) in meV per atom: 229
Polymorph energy (0 for the lowest one) in meV/atom: 74.6
Final energy in eV per atom: -7.86
Symmetry: No. 47
Size of the total moment in μB per cell: 0.00


No. 28
# MoIr3Cl

Crystalline MoIr3Cl at its relaxed geometry (PBE, Alexandria via LeMat-Bulk).

abc: 4.408 4.408 4.408
angles: 90.00 90.00 90.00
Sites, in units of the cell vectors:
Mo: 0.500 0.500 0.500
Ir: 0.000 0.500 0.000
Ir: 0.000 0.000 0.500
Ir: 0.500 0.000 0.000
Cl: 0.000 0.000 0.000

E_form (uncorrected) in meV per atom: 1689
Polymorph energy (0 for the lowest one) in meV/atom: 0.0
Final energy in eV per atom: -6.16
Symmetry: No. 221
Size of the total moment in μB per cell: 2.57


No. 29
# Mo2IrCl

Crystalline Mo2IrCl at its relaxed geometry (PBE, Alexandria via LeMat-Bulk).

abc: 2.899 2.899 7.040
angles: 90.00 90.00 90.00
Sites, in units of the cell vectors:
Cl: 0.500 0.500 0.250
Ir: 0.500 0.500 0.750
Mo: 0.000 0.000 0.013
Mo: 0.000 0.000 0.487

E_form (uncorrected) in meV per atom: 281
Polymorph energy (0 for the lowest one) in meV/atom: 126.8
Final energy in eV per atom: -7.81
Symmetry: No. 123
Size of the total moment in μB per cell: 0.00


No. 30
# Mo2IrCl

Crystalline Mo2IrCl at its relaxed geometry (PBE, Alexandria via LeMat-Bulk).

abc: 8.774 8.774 8.774
angles: 18.75 18.75 18.75
Sites, in units of the cell vectors:
Cl: 0.250 0.250 0.250
Ir: 0.750 0.750 0.750
Mo: 0.998 0.998 0.998
Mo: 0.502 0.502 0.502

E_form (uncorrected) in meV per atom: 154
Polymorph energy (0 for the lowest one) in meV/atom: 0.0
Final energy in eV per atom: -7.94
Symmetry: No. 166
Size of the total moment in μB per cell: 0.00